No. 1
DFT (PBE) results for CaGaH2Au after structural relaxation.

a b c (Å): 4.069 4.069 5.077
angles (deg): 90.00 90.00 90.00
Element x y z (fractional)
1 Ca 0.000 0.000 0.000
2 Ga 0.500 0.500 0.500
3 H 0.000 0.500 0.500
4 H 0.500 0.000 0.500
5 Au 0.500 0.500 0.000

SG: P4/mmm
Total DFT energy (no corrections) in eV/atom: -3.0670

No. 2
DFT (PBE) results for YScRe2 after structural relaxation.

a b c (Å): 3.546 3.546 6.393
angles (deg): 90.00 90.00 90.00
Element x y z (fractional)
1 Y 0.000 0.000 0.000
2 Sc 0.000 0.000 0.500
3 Re 0.500 0.500 0.305
4 Re 0.500 0.500 0.695

SG: P4/mmm
DFT formation energy in meV/atom: 270
Total DFT energy (no corrections) in eV/atom: -9.1527

No. 3
DFT (PBE) results for Zr2MnAu after structural relaxation.

a b c (Å): 9.461 9.461 9.461
angles (deg): 19.21 19.21 19.21
Element x y z (fractional)
1 Zr 0.000 0.000 0.000
2 Zr 0.240 0.240 0.240
3 Mn 0.747 0.747 0.747
4 Au 0.489 0.489 0.489

SG: R3m
DFT formation energy in meV/atom: 54
Total DFT energy (no corrections) in eV/atom: -7.3320

No. 4
DFT (PBE) results for MgSiBSb2 after structural relaxation.

a b c (Å): 5.222 5.222 3.813
angles (deg): 90.00 90.00 90.00
Element x y z (fractional)
1 Mg 0.000 0.000 0.000
2 Si 0.500 0.500 0.000
3 B 0.500 0.500 0.500
4 Sb 0.000 0.500 0.500
5 Sb 0.500 0.000 0.500

SG: P4/mmm
Total DFT energy (no corrections) in eV/atom: -3.8796
Formation energy without anion corrections in meV per atom: 508

No. 5
DFT (PBE) results for HgTeCl2 after structural relaxation.

a b c (Å): 5.119 4.849 5.952
angles (deg): 90.00 114.85 90.00
Element x y z (fractional)
1 Hg 0.000 0.000 0.000
2 Te 0.200 0.500 0.262
3 Cl 0.439 0.000 0.774
4 Cl 0.805 0.500 0.388

SG: Pm
Total DFT energy (no corrections) in eV/atom: -2.1141
Formation energy without anion corrections in meV per atom: -330

No. 6
DFT (PBE) results for MnCoReTc after structural relaxation.

a b c (Å): 4.237 4.237 4.237
angles (deg): 60.00 60.00 60.00
Element x y z (fractional)
1 Mn 0.000 0.000 0.000
2 Co 0.750 0.750 0.750
3 Re 0.250 0.250 0.250
4 Tc 0.500 0.500 0.500

SG: F-43m
DFT formation energy in meV/atom: 142
Total DFT energy (no corrections) in eV/atom: -9.6304

No. 7
DFT (PBE) results for Sr2TlGaC after structural relaxation.

a b c (Å): 6.270 6.270 3.733
angles (deg): 90.00 90.00 90.00
Element x y z (fractional)
1 Sr 0.000 0.500 0.000
2 Sr 0.500 0.000 0.000
3 Tl 0.000 0.000 0.500
4 Ga 0.500 0.500 0.000
5 C 0.500 0.500 0.500

SG: P4/mmm
DFT formation energy in meV/atom: 449
Total DFT energy (no corrections) in eV/atom: -3.1467

No. 8
DFT (PBE) results for Pm2ZrPd9 after structural relaxation.

a b c (Å): 4.126 4.126 12.445
angles (deg): 90.00 90.00 90.00
Element x y z (fractional)
1 Pm 0.000 0.000 0.170
2 Pm 0.000 0.000 0.830
3 Zr 0.000 0.000 0.500
4 Pd 0.000 0.500 0.000
5 Pd 0.000 0.500 0.344
6 Pd 0.000 0.500 0.656
7 Pd 0.500 0.000 0.000
8 Pd 0.500 0.000 0.344
9 Pd 0.500 0.000 0.656
10 Pd 0.500 0.500 0.173
11 Pd 0.500 0.500 0.500
12 Pd 0.500 0.500 0.827

SG: P4/mmm
DFT formation energy in meV/atom: -808
Total DFT energy (no corrections) in eV/atom: -6.2063

No. 9
DFT (PBE) results for LiHoMg2 after structural relaxation.

a b c (Å): 10.866 10.866 10.866
angles (deg): 17.39 17.39 17.39
Element x y z (fractional)
1 Li 0.000 0.000 0.000
2 Ho 0.832 0.832 0.832
3 Mg 0.411 0.411 0.411
4 Mg 0.588 0.588 0.588

SG: R3m
DFT formation energy in meV/atom: 35
Total DFT energy (no corrections) in eV/atom: -2.3850

No. 10
DFT (PBE) results for Pr2TmHg3 after structural relaxation.

a b c (Å): 3.743 3.743 11.753
angles (deg): 90.00 90.00 90.00
Element x y z (fractional)
1 Pr 0.000 0.000 0.174
2 Pr 0.000 0.000 0.826
3 Tm 0.000 0.000 0.500
4 Hg 0.500 0.500 0.000
5 Hg 0.500 0.500 0.353
6 Hg 0.500 0.500 0.647

SG: P4/mmm
DFT formation energy in meV/atom: -468
Total DFT energy (no corrections) in eV/atom: -2.9571

No. 11
DFT (PBE) results for Mg12In3Au after structural relaxation.

a b c (Å): 4.464 4.464 17.540
angles (deg): 90.00 90.00 90.00
Element x y z (fractional)
1 Mg 0.000 0.000 0.000
2 Mg 0.000 0.000 0.242
3 Mg 0.000 0.000 0.500
4 Mg 0.000 0.000 0.758
5 Mg 0.000 0.500 0.113
6 Mg 0.000 0.500 0.371
7 Mg 0.000 0.500 0.629
8 Mg 0.000 0.500 0.887
9 Mg 0.500 0.000 0.113
10 Mg 0.500 0.000 0.371
11 Mg 0.500 0.000 0.629
12 Mg 0.500 0.000 0.887
13 In 0.500 0.500 0.242
14 In 0.500 0.500 0.500
15 In 0.500 0.500 0.758
16 Au 0.500 0.500 0.000

SG: P4/mmm
DFT formation energy in meV/atom: -141
Total DFT energy (no corrections) in eV/atom: -2.0550

No. 12
DFT (PBE) results for Ho2Al2Ga3 after structural relaxation.

a b c (Å): 6.169 6.169 6.169
angles (deg): 55.45 55.45 55.45
Element x y z (fractional)
1 Ho 0.000 0.000 0.000
2 Ho 0.500 0.500 0.500
3 Al 0.198 0.198 0.198
4 Al 0.802 0.802 0.802
5 Ga 0.000 0.500 0.500
6 Ga 0.500 0.000 0.500
7 Ga 0.500 0.500 0.000

SG: R-3m
DFT formation energy in meV/atom: -319
Total DFT energy (no corrections) in eV/atom: -3.9930

No. 13
DFT (PBE) results for Y2Al3Au5 after structural relaxation.

a b c (Å): 12.606 12.606 7.054
angles (deg): 90.00 90.00 159.49
Element x y z (fractional)
1 Y 0.018 0.982 0.500
2 Y 0.323 0.677 0.493
3 Y 0.677 0.323 0.993
4 Y 0.982 0.018 0.000
5 Al 0.103 0.897 0.817
6 Al 0.275 0.725 0.967
7 Al 0.446 0.554 0.692
8 Al 0.554 0.446 0.192
9 Al 0.725 0.275 0.467
10 Al 0.897 0.103 0.317
11 Au 0.105 0.895 0.193
12 Au 0.200 0.800 0.682
13 Au 0.217 0.783 0.267
14 Au 0.381 0.619 0.992
15 Au 0.452 0.548 0.308
16 Au 0.548 0.452 0.808
17 Au 0.619 0.381 0.492
18 Au 0.783 0.217 0.767
19 Au 0.800 0.200 0.182
20 Au 0.895 0.105 0.693

SG: Cmc2_1
DFT formation energy in meV/atom: -663
Total DFT energy (no corrections) in eV/atom: -4.7177